(1)
First-principles (PBE) data for a geometry-optimized Pm2Nd3Tm8 structure, as listed in Alexandria.

Geometry as POSCAR:
```
Pm2Nd3Tm8
1.0
5.524 0.000 0.762
0.000 7.661 0.000
-1.397 -3.831 10.093
Tm Pm Nd
8 2 3
direct
0.500 0.601 0.782
0.001 0.666 0.332
0.500 0.399 0.218
0.999 0.334 0.668
0.500 0.180 0.782
0.000 0.132 0.264
0.500 0.820 0.218
0.000 0.868 0.736
0.499 0.241 0.481
0.501 0.759 0.519
0.000 0.293 0.000
0.000 0.707 0.000
0.500 0.000 0.000
```

Summary:
Excess energy over the best structure of this formula in the dataset = 0.236 eV/atom
DFT formation energy = 260 meV/atom
Magnetization = 0.000 μB per atom



(2)
First-principles (PBE) data for a geometry-optimized Pm8Nd5Tm structure, as listed in Alexandria.

Geometry as POSCAR:
```
Pm8Nd5Tm
1.0
-5.791 6.104 -1.872
-2.897 -5.087 6.326
7.247 3.999 2.406
Pm Nd Tm
8 5 1
direct
0.337 0.267 0.436
0.080 0.741 0.476
0.662 0.397 0.920
0.524 0.603 0.265
0.564 0.902 0.831
0.929 0.098 0.663
0.735 0.259 0.338
0.169 0.733 0.071
0.029 0.317 0.132
0.500 0.000 0.500
0.815 0.683 0.712
0.288 0.104 0.971
0.868 0.896 0.185
0.250 0.500 0.750
```

Summary:
DFT formation energy = 240 meV/atom
Magnetization = 0.000 μB per atom



(3)
First-principles (PBE) data for a geometry-optimized Pm2NdY6Tm3 structure, as listed in Alexandria.

Geometry as POSCAR:
```
Pm2NdY6Tm3
1.0
6.192 0.001 0.007
-3.094 5.364 0.007
-1.044 -1.807 11.639
Y Pm Nd Tm
6 2 1 3
direct
0.581 0.915 0.746
0.085 0.419 0.254
0.248 0.248 0.746
0.419 0.085 0.254
0.915 0.581 0.746
0.752 0.752 0.254
0.333 0.667 0.000
0.667 0.333 0.000
0.000 0.000 0.000
0.833 0.167 0.500
0.500 0.500 0.500
0.167 0.833 0.500
```

Summary:
DFT formation energy = 23 meV/atom
Magnetization = 0.000 μB per atom